No. 1
Material: CaInPIr2
Method: DFT, PBE
State: relaxed Values from VASP.

Output
D(E_F) = 0.606 states/eV/atom
Symmetry = P4/mmm, No. 123
Final energy = -5.547 eV/atom
Calculated density = 8.9 g/cm3
Energy of formation from the pure elements = 27 meV/atom

Cell and atoms, written as Quantum ESPRESSO input:
```
&SYSTEM
  ibrav = 0, nat = 5, ntyp = 4
/
ATOMIC_SPECIES
Ca 40.08 Ca.upf
In 114.82 In.upf
P 30.97 P.upf
Ir 192.22 Ir.upf
CELL_PARAMETERS angstrom
4.453 0.000 0.000
0.000 4.453 0.000
0.000 0.000 5.355
ATOMIC_POSITIONS angstrom
Ca 0.000 0.000 0.000
In 2.227 2.227 0.000
P 0.000 0.000 2.678
Ir 0.000 2.227 2.678
Ir 2.227 0.000 2.678
```

=====

No. 2
Material: SiTc2Pb
Method: DFT, PBE
State: relaxed Values from VASP.

Output
D(E_F) = 0.696 states/eV/atom
Symmetry = R3m, No. 160
Final energy = -7.093 eV/atom
Calculated density = 10.1 g/cm3
ΔE_f (raw) = 0.373 eV/atom
Relative energy among the computed polymorphs = 77.1 kJ/mol of formula units

Cell and atoms, written as Quantum ESPRESSO input:
```
&SYSTEM
  ibrav = 0, nat = 12, ntyp = 3
/
ATOMIC_SPECIES
Si 28.09 Si.upf
Tc 98.00 Tc.upf
Pb 207.20 Pb.upf
CELL_PARAMETERS angstrom
3.058 0.000 0.000
-1.529 2.648 0.000
0.000 0.000 26.188
ATOMIC_POSITIONS angstrom
Si 0.000 0.000 0.000
Si 0.000 1.765 17.459
Si 1.529 0.883 8.729
Tc 0.000 0.000 12.448
Tc 0.000 0.000 19.182
Tc 0.000 1.765 3.719
Tc 0.000 1.765 10.453
Tc 1.529 0.883 1.723
Tc 1.529 0.883 21.178
Pb 0.000 0.000 6.107
Pb 0.000 1.765 23.566
Pb 1.529 0.883 14.837
```

=====

No. 3
Material: La3IrPb
Method: DFT, PBE
State: relaxed Values from VASP.

Output
D(E_F) = 1.153 states/eV/atom
Symmetry = Fd-3m, No. 227
Final energy = -5.874 eV/atom
Calculated density = 7.1 g/cm3
Energy of formation from the pure elements = -403 meV/atom
Relative energy among the computed polymorphs = 136.9 kJ/mol of formula units

Cell and atoms, written as Quantum ESPRESSO input:
```
&SYSTEM
  ibrav = 0, nat = 20, ntyp = 3
/
ATOMIC_SPECIES
La 138.91 La.upf
Ir 192.22 Ir.upf
Pb 207.20 Pb.upf
CELL_PARAMETERS angstrom
0.000 7.259 7.259
7.259 0.000 7.259
7.259 7.259 0.000
ATOMIC_POSITIONS angstrom
La 5.444 5.444 1.271
La 5.444 1.271 5.444
La 9.617 5.444 5.444
La 9.074 9.074 4.901
La 9.074 4.901 9.074
La 13.246 9.074 9.074
La 1.271 5.444 5.444
La 5.444 9.617 5.444
La 5.444 5.444 9.617
La 4.901 9.074 9.074
La 9.074 13.246 9.074
La 9.074 9.074 13.246
Ir 0.000 0.000 0.000
Ir 3.629 3.629 0.000
Ir 3.629 0.000 3.629
Ir 0.000 3.629 3.629
Pb 7.259 3.629 3.629
Pb 3.629 7.259 3.629
Pb 3.629 3.629 7.259
Pb 7.259 7.259 7.259
```